# 1
A plane-wave DFT calculation with GGA-PBE was carried out for LiSm2Mg4 after structural relaxation.

Output
**Symmetry**: R-3m
**Formation energy from the elements**: -0.008 eV per atom
**Calculated density**: 3.8 g/cm3

abc: 8.068 8.068 8.068
angles: 38.06 38.06 38.06
Fractional coordinates of all 7 atoms:
1 Li 0.000 0.000 0.000
2 Sm 0.285 0.285 0.285
3 Sm 0.715 0.715 0.715
4 Mg 0.133 0.133 0.133
5 Mg 0.434 0.434 0.434
6 Mg 0.566 0.566 0.566
7 Mg 0.867 0.867 0.867

---

# 2
A plane-wave DFT calculation with GGA-PBE was carried out for Li2SmMg after structural relaxation.

Output
**Symmetry**: R3m
**Formation energy from the elements**: 0.094 eV per atom
**Calculated density**: 3.1 g/cm3

abc: 10.625 10.625 10.625
angles: 18.02 18.02 18.02
Fractional coordinates of all 4 atoms:
1 Li 0.000 0.000 0.000
2 Li 0.179 0.179 0.179
3 Sm 0.422 0.422 0.422
4 Mg 0.590 0.590 0.590

---

# 3
A plane-wave DFT calculation with GGA-PBE was carried out for Li2SmMg after structural relaxation.

Output
**Symmetry**: P4/mmm
**Formation energy from the elements**: 0.054 eV per atom
**Calculated density**: 3.3 g/cm3

abc: 3.568 3.568 7.386
angles: 90.00 90.00 90.00
Fractional coordinates of all 4 atoms:
1 Li 0.000 0.000 0.211
2 Li 0.000 0.000 0.789
3 Sm 0.500 0.500 0.500
4 Mg 0.500 0.500 0.000

---

# 4
A plane-wave DFT calculation with GGA-PBE was carried out for Li4Sm2Mg5 after structural relaxation.

Output
**Symmetry**: Fmmm
**Formation energy from the elements**: 0.065 eV per atom
**Calculated density**: 2.8 g/cm3

abc: 10.120 9.392 5.807
angles: 79.70 65.93 34.37
Fractional coordinates of all 11 atoms:
1 Li 0.016 0.717 0.283
2 Li 0.283 0.984 0.016
3 Li 0.717 0.016 0.984
4 Li 0.984 0.283 0.717
5 Sm 0.384 0.384 0.616
6 Sm 0.616 0.616 0.384
7 Mg 0.000 0.000 0.000
8 Mg 0.000 0.000 0.500
9 Mg 0.250 0.250 0.250
10 Mg 0.500 0.500 0.000
11 Mg 0.750 0.750 0.750

---

# 5
A plane-wave DFT calculation with GGA-PBE was carried out for LiSm6Mg after structural relaxation.

Output
**Symmetry**: I4/mmm
**Formation energy from the elements**: 0.016 eV per atom
**Calculated density**: 6.3 g/cm3

abc: 9.849 9.849 9.849
angles: 149.33 149.33 43.92
Fractional coordinates of all 8 atoms:
1 Li 0.000 0.000 0.000
2 Sm 0.113 0.613 0.500
3 Sm 0.250 0.250 0.000
4 Sm 0.387 0.887 0.500
5 Sm 0.613 0.113 0.500
6 Sm 0.750 0.750 0.000
7 Sm 0.887 0.387 0.500
8 Mg 0.500 0.500 0.000

---

# 6
A plane-wave DFT calculation with GGA-PBE was carried out for LiSm2Mg after structural relaxation.

Output
**Symmetry**: Fm-3m
**Formation energy from the elements**: 0.023 eV per atom
**Calculated density**: 4.9 g/cm3

abc: 5.407 5.407 5.407
angles: 60.00 60.00 60.00
Fractional coordinates of all 4 atoms:
1 Li 0.000 0.000 0.000
2 Sm 0.250 0.250 0.250
3 Sm 0.750 0.750 0.750
4 Mg 0.500 0.500 0.500